MnRuS: relaxed, GGA-PBE.

## Properties
* space-group type: P4mm (99)
* total magnetization: 0.00 μB/cell
* D(E_F): 1.111 states/eV per atom
* DFT total energy: -7.4582 eV per atom
* energy relative to the elements, uncorrected: 0.066 eV/atom

a b c (Å): 2.7587 2.7587 5.2571
angles (deg): 90.00 90.00 90.00
Last column: nearest neighbours and their distance in Å.
Element x y z (fractional)
Ru1 0.5000 0.5000 0.7772  1 S 2.32, 4 Mn 2.57
S1 0.5000 0.5000 0.2183  1 Ru 2.32, 4 Mn 2.33
Mn1 0.0000 0.0000 0.4596  4 S 2.33, 4 Ru 2.57

=====

MnRuS2: relaxed, GGA-PBE.

## Properties
* space-group type: I-42d (122)
* total magnetization: 0.00 μB/cell
* D(E_F): 0.497 states/eV per atom
* DFT total energy: -6.9159 eV per atom
* energy relative to the elements, uncorrected: -0.241 eV/atom

a b c (Å): 5.0952 5.0952 6.2147
angles (deg): 65.80 65.80 90.00
Last column: nearest neighbours and their distance in Å.
Element x y z (fractional)
Ru1 0.0000 0.0000 0.0000  4 S 2.26
Ru2 0.7500 0.2500 0.5000  4 S 2.26
S1 0.6058 0.1250 0.2500  2 Mn 2.15, 2 Ru 2.26
S2 0.1442 0.6250 0.2500  2 Mn 2.15, 2 Ru 2.26
S3 0.3750 0.3942 0.7500  2 Mn 2.15, 2 Ru 2.26
S4 0.8750 0.8558 0.7500  2 Mn 2.15, 2 Ru 2.26
Mn1 0.5000 0.5000 0.0000  4 S 2.15
Mn2 0.2500 0.7500 0.5000  4 S 2.15

=====

MnRuS: relaxed, GGA-PBE.

## Properties
* space-group type: I4mm (107)
* total magnetization: 0.00 μB/cell
* D(E_F): 0.931 states/eV per atom
* DFT total energy: -7.4499 eV per atom
* energy relative to the elements, uncorrected: 0.074 eV/atom

a b c (Å): 2.8166 2.8166 9.1562
angles (deg): 90.00 90.00 90.00
Last column: nearest neighbours and their distance in Å.
Element x y z (fractional)
Ru1 0.0000 0.0000 0.5825  4 S 2.53, 5 Mn 2.68-2.78, 4 Ru 2.82
Ru2 0.5000 0.5000 0.0825  4 S 2.53, 5 Mn 2.68-2.78, 4 Ru 2.82
S1 0.0000 0.0000 0.9115  4 Mn 2.33, 4 Ru 2.53
S2 0.5000 0.5000 0.4115  4 Mn 2.33, 4 Ru 2.53
Mn1 0.0000 0.0000 0.2785  4 S 2.33
Mn2 0.5000 0.5000 0.7785  4 S 2.33

=====

MnRu2S: relaxed, GGA-PBE.

## Properties
* space-group type: I-42d (122)
* total magnetization: 1.42 μB/cell
* D(E_F): 0.657 states/eV per atom
* DFT total energy: -7.5027 eV per atom
* energy relative to the elements, uncorrected: 0.460 eV/atom

a b c (Å): 5.2328 5.2328 6.3498
angles (deg): 65.67 65.67 90.00
Last column: nearest neighbours and their distance in Å.
Element x y z (fractional)
Ru1 0.6246 0.1250 0.2500  2 S 2.25, 2 Mn 2.26
Ru2 0.1254 0.6250 0.2500  2 S 2.25, 2 Mn 2.26
Ru3 0.3750 0.3754 0.7500  2 S 2.25, 2 Mn 2.26
Ru4 0.8750 0.8746 0.7500  2 S 2.25, 2 Mn 2.26
S1 0.5000 0.5000 0.0000  4 Ru 2.25
S2 0.2500 0.7500 0.5000  4 Ru 2.25
Mn1 0.0000 0.0000 0.0000  4 Ru 2.26
Mn2 0.7500 0.2500 0.5000  4 Ru 2.26

=====

MnRuS: relaxed, GGA-PBE.

## Properties
* space-group type: Pm (6)
* total magnetization: 3.07 μB/cell
* D(E_F): 0.612 states/eV per atom
* DFT total energy: -7.6199 eV per atom
* energy relative to the elements, uncorrected: -0.096 eV/atom

a b c (Å): 3.5053 3.1070 4.1827
angles (deg): 90.00 114.66 90.00
Last column: nearest neighbours and their distance in Å.
Element x y z (fractional)
Ru1 0.3705 0.5000 0.8213  3 S 2.30-2.31
S1 0.0655 0.5000 0.2126  3 Ru 2.30-2.31, 4 Mn 2.47-2.48
Mn1 0.6713 0.0000 0.4212  4 S 2.47-2.48, 2 Ru 2.76

=====

MnRuS2: relaxed, GGA-PBE.

## Properties
* space-group type: Fm-3m (225)
* total magnetization: 0.00 μB/cell
* D(E_F): 1.107 states/eV per atom
* DFT total energy: -6.5394 eV per atom
* energy relative to the elements, uncorrected: 0.136 eV/atom

a b c (Å): 4.1295 4.1295 4.1295
angles (deg): 60.00 60.00 60.00
Last column: nearest neighbours and their distance in Å.
Element x y z (fractional)
Ru1 0.5000 0.5000 0.5000  8 S 2.53
S1 0.2500 0.2500 0.2500  4 Mn 2.53, 4 Ru 2.53
S2 0.7500 0.7500 0.7500  4 Mn 2.53, 4 Ru 2.53
Mn1 0.0000 0.0000 0.0000  8 S 2.53

=====

MnRuS: relaxed, GGA-PBE.

## Properties
* space-group type: Pm (6)
* total magnetization: 0.00 μB/cell
* D(E_F): 0.973 states/eV per atom
* DFT total energy: -7.4031 eV per atom
* energy relative to the elements, uncorrected: 0.121 eV/atom

a b c (Å): 2.7624 2.7920 5.6600
angles (deg): 90.00 103.55 90.00
Last column: nearest neighbours and their distance in Å.
Element x y z (fractional)
Ru1 0.1560 0.5000 0.0140  1 S 2.27, 4 Mn 2.52
S1 0.3669 0.5000 0.4265  2 Mn 2.17, 1 Ru 2.27
Mn1 0.5192 0.0000 0.7279  2 S 2.17

=====

MnRuS: relaxed, GGA-PBE.

## Properties
* space-group type: Amm2 (38)
* total magnetization: 1.89 μB/cell
* D(E_F): 0.998 states/eV per atom
* DFT total energy: -7.4622 eV per atom
* energy relative to the elements, uncorrected: 0.062 eV/atom

a b c (Å): 3.6418 2.9212 7.5371
angles (deg): 90.00 90.00 90.00
Last column: nearest neighbours and their distance in Å.
Element x y z (fractional)
Ru1 0.0000 0.0000 0.5219  4 S 2.41
Ru2 0.0000 0.5000 0.0219  4 S 2.41
S1 0.5000 0.0000 0.1024  3 Mn 2.16-2.17, 4 Ru 2.41
S2 0.5000 0.5000 0.6024  3 Mn 2.16-2.17, 4 Ru 2.41
Mn1 0.5000 0.0000 0.8160  3 S 2.16-2.17
Mn2 0.5000 0.5000 0.3160  3 S 2.16-2.17

=====

MnSb2RuS: relaxed, GGA-PBE.

## Properties
* space-group type: P4/mmm (123)
* total magnetization: 4.57 μB/cell
* D(E_F): 1.098 states/eV per atom
* DFT total energy: -5.2947 eV per atom
* energy relative to the elements, uncorrected: 0.869 eV/atom

a b c (Å): 5.1602 4.1433 5.1602
angles (deg): 90.00 90.00 90.00
Last column: nearest neighbours and their distance in Å.
Element x y z (fractional)
Sb1 0.0000 0.0000 0.5000  2 S 2.58
Sb2 0.5000 0.0000 0.0000  2 S 2.58
S1 0.0000 0.0000 0.0000  2 Mn 2.07
Mn1 0.0000 0.5000 0.0000  2 S 2.07
Ru1 0.5000 0.5000 0.5000  8 Sb 3.31, 4 Mn 3.65

=====

ScMnRu2S: relaxed, GGA-PBE.

## Properties
* space-group type: P4/mmm (123)
* total magnetization: 2.68 μB/cell
* D(E_F): 2.004 states/eV per atom
* DFT total energy: -5.7137 eV per atom
* energy relative to the elements, uncorrected: 1.922 eV/atom

a b c (Å): 4.6759 4.4151 4.6759
angles (deg): 90.00 90.00 90.00
Last column: nearest neighbours and their distance in Å.
Element x y z (fractional)
Sc1 0.0000 0.0000 0.0000  2 Mn 2.21, 4 Ru 2.34
Ru1 0.0000 0.0000 0.5000  2 Sc 2.34
Ru2 0.5000 0.0000 0.0000  2 Sc 2.34
S1 0.5000 0.5000 0.5000  8 Ru 3.22, 4 Mn 3.31
Mn1 0.0000 0.5000 0.0000  2 Sc 2.21

=====

SrMn2RuS: relaxed, GGA-PBE.

## Properties
* space-group type: P4/mmm (123)
* total magnetization: 10.95 μB/cell
* D(E_F): 1.435 states/eV per atom
* DFT total energy: -4.6713 eV per atom
* energy relative to the elements, uncorrected: 2.014 eV/atom

a b c (Å): 5.2665 5.2665 5.1417
angles (deg): 90.00 90.00 90.00
Last column: nearest neighbours and their distance in Å.
Element x y z (fractional)
Ru1 0.5000 0.5000 0.5000  8 Mn 3.68, 4 S 3.72
S1 0.0000 0.0000 0.5000  2 Sr 2.57
Mn1 0.0000 0.5000 0.0000  2 Sr 2.63
Mn2 0.5000 0.0000 0.0000  2 Sr 2.63
Sr1 0.0000 0.0000 0.0000  2 S 2.57, 4 Mn 2.63

=====

MnRu2WS: relaxed, GGA-PBE.

## Properties
* space-group type: P4/mmm (123)
* total magnetization: 0.75 μB/cell
* D(E_F): 1.634 states/eV per atom
* DFT total energy: -7.1574 eV per atom
* energy relative to the elements, uncorrected: 1.803 eV/atom

a b c (Å): 4.7122 4.5055 4.7122
angles (deg): 90.00 90.00 90.00
Last column: nearest neighbours and their distance in Å.
Element x y z (fractional)
Ru1 0.0000 0.0000 0.5000  2 W 2.36
Ru2 0.5000 0.0000 0.0000  2 W 2.36
S1 0.0000 0.5000 0.0000  2 W 2.25
Mn1 0.5000 0.5000 0.5000  8 Ru 3.26, 4 S 3.33
W1 0.0000 0.0000 0.0000  2 S 2.25, 4 Ru 2.36

=====

YMn2RuS: relaxed, GGA-PBE.

## Properties
* space-group type: P4/mmm (123)
* total magnetization: 9.72 μB/cell
* D(E_F): 1.157 states/eV per atom
* DFT total energy: -6.0364 eV per atom
* energy relative to the elements, uncorrected: 1.605 eV/atom

a b c (Å): 5.0453 4.8909 5.0453
angles (deg): 90.00 90.00 90.00
Last column: nearest neighbours and their distance in Å.
Element x y z (fractional)
Y1 0.0000 0.0000 0.0000  2 S 2.45, 4 Mn 2.52
Ru1 0.5000 0.5000 0.5000  8 Mn 3.51, 4 S 3.57
S1 0.0000 0.5000 0.0000  2 Y 2.45
Mn1 0.0000 0.0000 0.5000  2 Y 2.52
Mn2 0.5000 0.0000 0.0000  2 Y 2.52

=====

Mn2ZnRuS: relaxed, GGA-PBE.

## Properties
* space-group type: P4/mmm (123)
* total magnetization: 9.54 μB/cell
* D(E_F): 0.716 states/eV per atom
* DFT total energy: -5.9753 eV per atom
* energy relative to the elements, uncorrected: 0.628 eV/atom

a b c (Å): 5.0049 4.3116 5.0049
angles (deg): 90.00 90.00 90.00
Last column: nearest neighbours and their distance in Å.
Element x y z (fractional)
Ru1 0.0000 0.0000 0.0000  2 S 2.16
Zn1 0.5000 0.5000 0.5000  8 Mn 3.30, 4 S 3.54
Mn1 0.0000 0.0000 0.5000  2 Ru 2.50
Mn2 0.5000 0.0000 0.0000  2 Ru 2.50
S1 0.0000 0.5000 0.0000  2 Ru 2.16